1.
The following is a PBE calculation of crystalline As2PtF at its relaxed geometry, from Alexandria via LeMat-Bulk.

a b c (Å): 5.3631 5.3631 7.0772
angles (deg): 67.73 67.73 90.00
Fractional coordinates of all 8 atoms:
As1 0.6316 0.1250 0.2500
As2 0.1184 0.6250 0.2500
As3 0.3750 0.3684 0.7500
As4 0.8750 0.8816 0.7500
Pt1 0.0000 0.0000 0.0000
Pt2 0.7500 0.2500 0.5000
F1 0.5000 0.5000 0.0000
F2 0.2500 0.7500 0.5000

Computed properties:
Formation energy without anion corrections in kJ per mole of atoms: -35.1
VASP energy in eV/atom: -4.6667
Energy above the lowest structure with this stoichiometry in kcal/mol of atoms: 4.75
SG: I-42d (122)
Magnetic moment in μB per formula unit: 0.0

2.
The following is a PBE calculation of crystalline AsPtF2 at its relaxed geometry, from Alexandria via LeMat-Bulk.

a b c (Å): 8.4449 8.4449 8.4449
angles (deg): 154.76 154.76 35.99
Fractional coordinates of all 8 atoms:
As1 0.2500 0.7500 0.5000
As2 0.5000 0.5000 0.0000
Pt1 0.7500 0.2500 0.5000
Pt2 0.0000 0.0000 0.0000
F1 0.6192 0.1250 0.9942
F2 0.1308 0.6250 0.0058
F3 0.8750 0.8692 0.4942
F4 0.3750 0.3808 0.5058

Computed properties:
Formation energy without anion corrections in kJ per mole of atoms: -63.2
VASP energy in eV/atom: -4.2636
Energy above the lowest structure with this stoichiometry in kcal/mol of atoms: 0.96
SG: I-42d (122)
Magnetic moment in μB per formula unit: 0.0

3.
The following is a PBE calculation of crystalline As2PtF2 at its relaxed geometry, from Alexandria via LeMat-Bulk.

a b c (Å): 3.3722 3.3722 6.7073
angles (deg): 75.44 75.44 90.00
Fractional coordinates of all 5 atoms:
As1 0.3816 0.3816 0.2369
As2 0.6184 0.6184 0.7631
Pt1 0.0000 0.0000 0.0000
F1 0.7500 0.2500 0.5000
F2 0.2500 0.7500 0.5000

Computed properties:
Formation energy without anion corrections in kJ per mole of atoms: -60.0
VASP energy in eV/atom: -4.4384
Energy above the lowest structure with this stoichiometry in kcal/mol of atoms: 1.71
SG: I4/mmm (139)
Magnetic moment in μB per formula unit: 0.0

4.
The following is a PBE calculation of crystalline AsPtF2 at its relaxed geometry, from Alexandria via LeMat-Bulk.

a b c (Å): 8.1671 8.1671 8.1671
angles (deg): 20.08 20.08 20.08
Fractional coordinates of all 4 atoms:
As1 0.5000 0.5000 0.5000
Pt1 0.0000 0.0000 0.0000
F1 0.9159 0.9159 0.9159
F2 0.0841 0.0841 0.0841

Computed properties:
Formation energy without anion corrections in kJ per mole of atoms: -67.3
VASP energy in eV/atom: -4.3053
Energy above the lowest structure with this stoichiometry in kcal/mol of atoms: 0.00
SG: R-3m (166)
Magnetic moment in μB per formula unit: 0.0

5.
The following is a PBE calculation of crystalline AsPtF3 at its relaxed geometry, from Alexandria via LeMat-Bulk.

a b c (Å): 4.2178 4.2178 4.2178
angles (deg): 90.00 90.00 90.00
Fractional coordinates of all 5 atoms:
As1 0.0000 0.0000 0.0000
Pt1 0.5000 0.5000 0.5000
F1 0.0000 0.5000 0.0000
F2 0.0000 0.0000 0.5000
F3 0.5000 0.0000 0.0000

Computed properties:
Formation energy without anion corrections in kJ per mole of atoms: -51.7
VASP energy in eV/atom: -3.7962
Energy above the lowest structure with this stoichiometry in kcal/mol of atoms: 0.00
SG: Pm-3m (221)
Magnetic moment in μB per formula unit: 0.1

6.
The following is a PBE calculation of crystalline AsPtF3 at its relaxed geometry, from Alexandria via LeMat-Bulk.

a b c (Å): 4.3236 4.3236 4.3236
angles (deg): 90.00 90.00 90.00
Fractional coordinates of all 5 atoms:
As1 0.5000 0.5000 0.5000
Pt1 0.0000 0.0000 0.0000
F1 0.0000 0.5000 0.0000
F2 0.0000 0.0000 0.5000
F3 0.5000 0.0000 0.0000

Computed properties:
Formation energy without anion corrections in kJ per mole of atoms: -28.8
VASP energy in eV/atom: -3.5589
Energy above the lowest structure with this stoichiometry in kcal/mol of atoms: 5.47
SG: Pm-3m (221)
Magnetic moment in μB per formula unit: 2.0

7.
The following is a PBE calculation of crystalline Sb2AsPtF at its relaxed geometry, from Alexandria via LeMat-Bulk.

a b c (Å): 5.2553 4.1725 5.2553
angles (deg): 90.00 90.00 90.00
Fractional coordinates of all 5 atoms:
Sb1 0.0000 0.0000 0.5000
Sb2 0.5000 0.0000 0.0000
As1 0.5000 0.5000 0.5000
Pt1 0.0000 0.0000 0.0000
F1 0.0000 0.5000 0.0000

Computed properties:
Formation energy without anion corrections in kJ per mole of atoms: -9.7
VASP energy in eV/atom: -4.2619
SG: P4/mmm (123)
Magnetic moment in μB per formula unit: 0.0

8.
The following is a PBE calculation of crystalline ScAs2PtF at its relaxed geometry, from Alexandria via LeMat-Bulk.

a b c (Å): 5.0924 4.8465 5.0924
angles (deg): 90.00 90.00 90.00
Fractional coordinates of all 5 atoms:
Sc1 0.0000 0.0000 0.0000
As1 0.0000 0.0000 0.5000
As2 0.5000 0.0000 0.0000
Pt1 0.0000 0.5000 0.0000
F1 0.5000 0.5000 0.5000

Computed properties:
Formation energy without anion corrections in kJ per mole of atoms: 35.7
VASP energy in eV/atom: -4.3382
SG: P4/mmm (123)
Magnetic moment in μB per formula unit: 0.0